Entry from the Alexandria database: a relaxed structure of Nd2HoPu3Te6 (PBE).

Summary:
theoretical density	8.74	g/cm3
N(E_F)	2.764	states/eV/atom
size of the total moment	17.79	μB/f.u.
raw total energy	-7.58	eV/atom
formation energy without anion corrections	-120.4	kJ per mole of atoms

Cell: 19.395 4.419 8.912 Å, 90.00 103.87 90.00°
Space group C2/m (No. 12)
Symmetry-distinct sites (fractional):
Nd1 0.167 0.000 0.336 [4 per cell]
Ho1 0.000 0.500 0.000 [2 per cell]
Pu1 0.000 0.500 0.500 [2 per cell]
Pu2 0.169 0.000 0.835 [4 per cell]
Te1 0.002 0.000 0.756 [4 per cell]
Te2 0.164 0.500 0.079 [4 per cell]
Te3 0.165 0.500 0.588 [4 per cell]